Record 1
A plane-wave DFT calculation with GGA-PBE was carried out for an optimized crystal structure of Ce2ZrCo9.

Cell lengths 8.640, 8.640, 8.640 Å; angles 32.31, 32.31, 32.31 degrees
Fractional positions:
Ce 0.139 0.139 0.139
Ce 0.861 0.861 0.861
Zr 0.000 0.000 0.000
Co 0.080 0.578 0.578
Co 0.333 0.333 0.333
Co 0.422 0.422 0.920
Co 0.422 0.920 0.422
Co 0.500 0.500 0.500
Co 0.578 0.080 0.578
Co 0.578 0.578 0.080
Co 0.667 0.667 0.667
Co 0.920 0.422 0.422

Properties
ΔH_f (0 K) = -0.1763 eV/atom
symmetry = R-3m, No. 166


Record 2
A plane-wave DFT calculation with GGA-PBE was carried out for an optimized crystal structure of CdMoW2.

Cell lengths 4.781, 4.781, 4.781 Å; angles 127.03, 127.03, 78.19 degrees
Fractional positions:
Cd 0.000 0.000 0.000
Mo 0.250 0.750 0.500
W 0.500 0.500 0.000
W 0.750 0.250 0.500

Properties
ΔH_f (0 K) = 0.5976 eV/atom
symmetry = I-4m2, No. 119


Record 3
A plane-wave DFT calculation with GGA-PBE was carried out for an optimized crystal structure of Ta2TcIr.

Cell lengths 5.057, 5.057, 5.057 Å; angles 140.56, 125.87, 69.01 degrees
Fractional positions:
Ta 0.247 0.247 0.000
Ta 0.753 0.753 0.000
Tc 0.000 0.500 0.500
Ir 0.500 0.000 0.500

Properties
ΔH_f (0 K) = -0.2478 eV/atom
symmetry = Immm, No. 71


Record 4
A plane-wave DFT calculation with GGA-PBE was carried out for an optimized crystal structure of LiGaAg2H.

Cell lengths 4.279, 4.279, 3.736 Å; angles 90.00, 90.00, 90.00 degrees
Fractional positions:
Li 0.000 0.000 0.000
Ga 0.500 0.500 0.000
Ag 0.000 0.500 0.500
Ag 0.500 0.000 0.500
H 0.000 0.000 0.500

Properties
symmetry = P4/mmm, No. 123
DFT total energy = -2.818 eV per atom


Record 5
A plane-wave DFT calculation with GGA-PBE was carried out for an optimized crystal structure of PmThCuAu.

Cell lengths 5.166, 5.166, 5.166 Å; angles 60.00, 60.00, 60.00 degrees
Fractional positions:
Pm 0.000 0.000 0.000
Th 0.500 0.500 0.500
Cu 0.750 0.750 0.750
Au 0.250 0.250 0.250

Properties
ΔH_f (0 K) = -0.3565 eV/atom
symmetry = F-43m, No. 216


Record 6
A plane-wave DFT calculation with GGA-PBE was carried out for an optimized crystal structure of ZrMn2Cr.

Cell lengths 4.325, 4.325, 3.102 Å; angles 90.00, 90.00, 90.00 degrees
Fractional positions:
Zr 0.000 0.000 0.000
Mn 0.000 0.500 0.500
Mn 0.500 0.000 0.500
Cr 0.500 0.500 0.000

Properties
ΔH_f (0 K) = 0.1305 eV/atom
symmetry = P4/mmm, No. 123